A plane-wave DFT calculation with PBE was carried out for crystalline La4SnCl4 at its relaxed geometry. Values from VASP.

The structure in Quantum ESPRESSO input format:
```
&SYSTEM
  ibrav = 0, nat = 9, ntyp = 3
/
ATOMIC_SPECIES
Cl 35.45 Cl.upf
La 138.91 La.upf
Sn 118.71 Sn.upf
CELL_PARAMETERS angstrom
5.379 0.000 2.365
2.690 6.733 1.183
-0.021 0.000 7.346
ATOMIC_POSITIONS crystal
Cl 0.610 0.598 0.182
La 0.902 0.411 0.786
La 0.313 0.786 0.589
Cl 0.208 0.182 0.402
La 0.098 0.589 0.214
La 0.687 0.214 0.411
Cl 0.792 0.818 0.598
Sn 0.000 0.000 0.000
Cl 0.390 0.402 0.818
```

Properties
Crystal system: tetragonal
E in eV/atom: -4.91

***

A plane-wave DFT calculation with PBE was carried out for crystalline UPPdN at its relaxed geometry. Values from VASP.

The structure in Quantum ESPRESSO input format:
```
&SYSTEM
  ibrav = 0, nat = 8, ntyp = 4
/
ATOMIC_SPECIES
U 238.03 U.upf
P 30.97 P.upf
Pd 106.42 Pd.upf
N 14.01 N.upf
CELL_PARAMETERS angstrom
-0.898 2.870 2.400
-3.040 0.879 -2.188
-4.554 -5.026 4.307
ATOMIC_POSITIONS crystal
U 0.000 0.500 0.852
P 0.500 0.000 0.694
Pd 0.000 0.000 0.500
N 0.500 0.500 0.000
N 0.000 0.000 0.000
P 0.000 0.500 0.306
U 0.500 0.000 0.148
Pd 0.500 0.500 0.500
```

Properties
Crystal system: tetragonal
E in eV/atom: -8.60

***

Which E_form (uncorrected) belongs to each record? In order, -1.451 -1.047 eV per atom.
Which DOS at the Fermi energy belongs to each record? In order, 6.03 3.31 states/eV/f.u..